The following is a DFT calculation (GGA-PBE) of a geometry-optimized SrRh2 structure.

Values from the calculation:
The crystal system is cubic. As for the formation energy: -0.2555 eV/atom.

Cell: 5.4896 5.4896 5.4896 Å, 60.00 60.00 60.00°
Last column: nearest neighbours and their distance in Å.
Positions (direct):
Sr 0.1250 0.1250 0.1250  12 Rh 3.22, 4 Sr 3.36
Sr 0.8750 0.8750 0.8750  12 Rh 3.22, 4 Sr 3.36
Rh 0.0000 0.5000 0.5000  6 Rh 2.74
Rh 0.5000 0.0000 0.5000  6 Rh 2.74
Rh 0.5000 0.5000 0.0000  6 Rh 2.74
Rh 0.5000 0.5000 0.5000  6 Rh 2.74

=====

The following is a DFT calculation (GGA-PBE) of a geometry-optimized Sr2PmSnO6 structure.

Values from the calculation:
The crystal system is monoclinic. As for the uncorrected formation energy: -2448.2 meV per atom.

Cell: 5.9726 6.1102 10.3607 Å, 90.00 124.96 90.00°
Last column: nearest neighbours and their distance in Å.
Positions (direct):
Sr 0.2360 0.0455 0.2511  6 O 2.53-2.81
Sr 0.2360 0.4545 0.7511  6 O 2.53-2.81
Sr 0.7640 0.5455 0.2489  6 O 2.53-2.81
Sr 0.7640 0.9545 0.7489  6 O 2.53-2.81
Pm 0.5000 0.0000 0.0000  6 O 2.32-2.34
Pm 0.5000 0.5000 0.5000  6 O 2.32-2.34
Sn 0.0000 0.0000 0.5000  6 O 2.10
Sn 0.0000 0.5000 0.0000  6 O 2.10
O 0.1354 0.2237 0.9426  1 Sn 2.10, 1 Pm 2.34
O 0.1354 0.2763 0.4426  1 Sn 2.10, 1 Pm 2.34
O 0.2287 0.6969 0.9498  1 Sn 2.10, 1 Pm 2.32
O 0.2287 0.8031 0.4498  1 Sn 2.10, 1 Pm 2.32
O 0.3365 0.0407 0.7352  1 Sn 2.10, 1 Pm 2.34
O 0.3365 0.4593 0.2352  1 Sn 2.10, 1 Pm 2.34
O 0.6635 0.5407 0.7648  1 Sn 2.10, 1 Pm 2.34
O 0.6635 0.9593 0.2648  1 Sn 2.10, 1 Pm 2.34
O 0.7713 0.1969 0.5502  1 Sn 2.10, 1 Pm 2.32
O 0.7713 0.3031 0.0502  1 Sn 2.10, 1 Pm 2.32
O 0.8646 0.7237 0.5574  1 Sn 2.10, 1 Pm 2.34
O 0.8646 0.7763 0.0574  1 Sn 2.10, 1 Pm 2.34

=====

The following is a DFT calculation (GGA-PBE) of a geometry-optimized CeGeTe2O structure.

Values from the calculation:
The crystal system is tetragonal. As for the uncorrected formation energy: -1482.0 meV per atom.

Cell: 4.0910 4.0910 14.4654 Å, 90.00 90.00 90.00°
Last column: nearest neighbours and their distance in Å.
Positions (direct):
Ce 0.2500 0.2500 0.0823  4 O 2.37
Ce 0.7500 0.7500 0.9177  4 O 2.37
Ge 0.2500 0.2500 0.5913  6 Te 2.89-3.06
Ge 0.7500 0.7500 0.4087  6 Te 2.89-3.06
Te 0.2500 0.2500 0.3915  5 Ge 2.89-2.90
Te 0.2500 0.2500 0.8025  1 Ge 3.06, 4 Ce 3.34
Te 0.7500 0.7500 0.1975  1 Ge 3.06, 4 Ce 3.34
Te 0.7500 0.7500 0.6085  5 Ge 2.89-2.90
O 0.2500 0.7500 0.0000  4 Ce 2.37
O 0.7500 0.2500 0.0000  4 Ce 2.37

=====

The following is a DFT calculation (GGA-PBE) of a geometry-optimized NaLiCrSb2 structure.

Values from the calculation:
The crystal system is tetragonal. As for the uncorrected formation energy: 128.0 meV per atom.

Cell: 5.1556 5.1556 5.1254 Å, 90.00 90.00 90.00°
Last column: nearest neighbours and their distance in Å.
Positions (direct):
Na 0.0000 0.0000 0.0000  8 Sb 3.63, 4 Li 3.65
Li 0.5000 0.5000 0.0000  2 Cr 2.56
Cr 0.5000 0.5000 0.5000  2 Li 2.56, 4 Sb 2.58
Sb 0.0000 0.5000 0.5000  2 Cr 2.58
Sb 0.5000 0.0000 0.5000  2 Cr 2.58

=====

The following is a DFT calculation (GGA-PBE) of a geometry-optimized LiMg2Cd2Ag4 structure.

Values from the calculation:
The crystal system is monoclinic. As for the formation energy: -0.1689 eV/atom.

Cell: 7.1881 7.1881 7.3462 Å, 106.34 106.34 27.33°
Last column: nearest neighbours and their distance in Å.
Positions (direct):
Li 0.0000 0.0000 0.0000  4 Ag 2.78, 4 Cd 2.80
Mg 0.1173 0.1173 0.6425  7 Ag 2.86-2.93, 2 Cd 3.04
Mg 0.8827 0.8827 0.3575  7 Ag 2.86-2.93, 2 Cd 3.04
Cd 0.3404 0.3404 0.9998  2 Li 2.80, 3 Ag 2.90-3.04, 2 Mg 3.04, 2 Cd 3.04
Cd 0.6596 0.6596 0.0002  2 Li 2.80, 3 Ag 2.90-3.04, 2 Mg 3.04, 2 Cd 3.04
Ag 0.2115 0.2115 0.3345  3 Mg 2.90-2.93, 2 Cd 2.90, 4 Ag 2.91-2.92
Ag 0.4614 0.4614 0.6878  2 Li 2.78, 4 Mg 2.86-2.90, 2 Ag 2.92, 1 Cd 3.04
Ag 0.5386 0.5386 0.3122  2 Li 2.78, 4 Mg 2.86-2.90, 2 Ag 2.92, 1 Cd 3.04
Ag 0.7885 0.7885 0.6655  3 Mg 2.90-2.93, 2 Cd 2.90, 4 Ag 2.91-2.92

=====

The following is a DFT calculation (GGA-PBE) of a geometry-optimized Sm4GaTe2I structure.

Values from the calculation:
The crystal system is monoclinic. As for the uncorrected formation energy: -1072.8 meV per atom.

Cell: 7.6251 4.3777 7.7721 Å, 90.00 108.81 90.00°
Last column: nearest neighbours and their distance in Å.
Positions (direct):
Sm 0.2308 0.0000 0.2223  2 Ga 2.99, 3 Te 3.08-3.29, 1 I 3.19
Sm 0.2465 0.5000 0.7789  1 Ga 2.93, 2 Te 3.06, 2 I 3.22
Sm 0.7535 0.5000 0.2211  1 Ga 2.93, 2 Te 3.06, 2 I 3.22
Sm 0.7692 0.0000 0.7777  2 Ga 2.99, 3 Te 3.08-3.29, 1 I 3.19
Ga 0.0000 0.5000 0.0000  6 Sm 2.93-2.99
Te 0.5000 0.0000 0.0000  6 Sm 3.06-3.08
Te 0.5000 0.5000 0.5000  6 Sm 3.29-3.34
I 0.0000 0.0000 0.5000  6 Sm 3.19-3.22

=====

The following is a DFT calculation (GGA-PBE) of a geometry-optimized GeAuN3 structure.

Values from the calculation:
The crystal system is cubic. As for the uncorrected formation energy: 2281.9 meV per atom.

Cell: 4.1080 4.1080 4.1080 Å, 90.00 90.00 90.00°
Last column: nearest neighbours and their distance in Å.
Positions (direct):
Ge 0.0000 0.0000 0.0000  12 N 2.90
Au 0.5000 0.5000 0.5000  6 N 2.05
N 0.0000 0.5000 0.5000  2 Au 2.05
N 0.5000 0.0000 0.5000  2 Au 2.05
N 0.5000 0.5000 0.0000  2 Au 2.05

=====

The following is a DFT calculation (GGA-PBE) of a geometry-optimized SrSc2Ir structure.

Values from the calculation:
The crystal system is monoclinic. As for the formation energy: 0.0770 eV/atom.

Cell: 4.6097 4.1966 4.7016 Å, 90.00 90.08 90.00°
Last column: nearest neighbours and their distance in Å.
Positions (direct):
Sr 0.0000 0.0000 0.0000  4 Ir 3.12, 8 Sc 3.15-3.29
Sc 0.0000 0.5000 0.5000  4 Sc 3.12, 4 Sr 3.15, 4 Ir 3.29
Sc 0.5000 0.0000 0.5000  4 Sc 3.12, 4 Ir 3.15, 4 Sr 3.29
Ir 0.5000 0.5000 0.0000  4 Sr 3.12, 8 Sc 3.15-3.29

=====

The following is a DFT calculation (GGA-PBE) of a geometry-optimized RbBRuO6 structure.

Values from the calculation:
The crystal system is triclinic. As for the uncorrected formation energy: -1232.3 meV per atom.

Cell: 4.9425 4.9428 6.5313 Å, 89.98 89.90 60.01°
Last column: nearest neighbours and their distance in Å.
Positions (direct):
Rb 0.0000 0.0000 0.0000  6 O 2.82-2.95
B 0.3340 0.3334 0.6981  3 O 1.39
Ru 0.6682 0.6663 0.4998  3 O 1.74
O 0.0220 0.4154 0.7130  1 B 1.39
O 0.3482 0.9665 0.3741  1 Ru 1.74
O 0.4158 0.5635 0.7126  1 B 1.39
O 0.5640 0.0215 0.7125  1 B 1.39
O 0.6887 0.3454 0.3747  1 Ru 1.74
O 0.9694 0.6859 0.3747  1 Ru 1.74

=====

The following is a DFT calculation (GGA-PBE) of a geometry-optimized TeP2Cl structure.

Values from the calculation:
The crystal system is tetragonal. As for the uncorrected formation energy: 495.1 meV per atom.

Cell: 6.5412 6.5412 6.5412 Å, 98.79 98.79 133.98°
Last column: nearest neighbours and their distance in Å.
Positions (direct):
Te 0.0000 0.0000 0.0000  2 Cl 2.56, 4 P 2.84
Te 0.7500 0.2500 0.5000  2 Cl 2.56, 4 P 2.84
P 0.0832 0.6250 0.9582  2 P 2.65, 2 Te 2.84
P 0.3750 0.3332 0.4582  2 P 2.65, 2 Te 2.84
P 0.6668 0.1250 0.0418  2 P 2.65, 2 Te 2.84
P 0.8750 0.9168 0.5418  2 P 2.65, 2 Te 2.84
Cl 0.2500 0.7500 0.5000  2 Te 2.56
Cl 0.5000 0.5000 0.0000  2 Te 2.56

=====

The following is a DFT calculation (GGA-PBE) of a geometry-optimized Ba4ReN5 structure.

Values from the calculation:
The crystal system is tetragonal. As for the uncorrected formation energy: -453.5 meV per atom.

Cell: 6.6089 6.6089 6.6089 Å, 101.34 101.34 127.36°
Last column: nearest neighbours and their distance in Å.
Positions (direct):
Ba 0.1213 0.2974 0.4187  3 N 2.57-2.80
Ba 0.2974 0.8787 0.1761  3 N 2.57-2.80
Ba 0.7026 0.1213 0.8239  3 N 2.57-2.80
Ba 0.8787 0.7026 0.5813  3 N 2.57-2.80
Re 0.5616 0.5616 0.0000  1 N 1.80
N 0.2654 0.5651 0.8459  1 Re 2.04
N 0.4195 0.2654 0.7003  1 Re 2.04
N 0.5651 0.7192 0.2997  1 Re 2.04
N 0.7192 0.4195 0.1541  1 Re 2.04
N 0.8688 0.8688 0.0000  1 Re 1.80

=====

The following is a DFT calculation (GGA-PBE) of a geometry-optimized Cu2AgPb structure.

Values from the calculation:
The crystal system is monoclinic. As for the formation energy: 0.2291 eV/atom.

Cell: 5.0591 5.0591 4.5309 Å, 109.36 109.36 40.87°
Last column: nearest neighbours and their distance in Å.
Positions (direct):
Cu 0.0000 0.0000 0.0000  2 Cu 2.58, 2 Ag 2.78, 1 Pb 2.85
Cu 0.7086 0.7086 0.2279  2 Cu 2.58, 3 Ag 2.84-2.85, 2 Pb 2.87
Ag 0.4604 0.4604 0.4394  7 Cu 2.78-3.01, 4 Pb 2.94-3.08
Pb 0.2373 0.2373 0.7530  7 Cu 2.85-2.93, 4 Ag 2.94-3.08